Compound: AcTb2Er4
Source: Alexandria
Functional: PBE
Structure: relaxed

POSCAR file:
```
AcTb2Er4
1.0
7.1093 0.0000 0.0000
-1.7834 8.4876 0.0000
-1.7937 -4.1022 7.6507
Ac Tb Er
2 4 8
direct
0.0000 0.0000 0.0000 Ac
0.0822 0.7275 0.5769 Ac
0.1908 0.2907 0.4342 Tb
0.2842 0.8353 0.2563 Tb
0.8851 0.4030 0.1250 Tb
0.9725 0.1747 0.7095 Tb
0.3656 0.5736 0.8571 Er
0.3907 0.4043 0.1295 Er
0.4817 0.1735 0.7159 Er
0.5017 0.9960 0.9921 Er
0.5816 0.7243 0.5821 Er
0.6778 0.2801 0.4162 Er
0.7709 0.8340 0.2569 Er
0.8549 0.5643 0.8490 Er
```

**ΔE_f**: 69 meV/atom
**D(E_F)**: 21.619 states/eV/cell
**Distance to the lowest polymorph of the same formula**: 0.24 eV per formula unit
**Raw total energy**: -4.45 eV/atom

---

Compound: CuAsRh2
Source: Alexandria
Functional: PBE
Structure: relaxed

POSCAR file:
```
CuAsRh2
1.0
-3.4040 3.4040 2.6707
3.4040 -3.4040 2.6707
3.4040 3.4040 -2.6707
Cu As Rh
2 2 4
direct
0.0000 0.0000 0.0000 Cu
0.7500 0.2500 0.5000 Cu
0.2500 0.7500 0.5000 As
0.5000 0.5000 0.0000 As
0.1584 0.1250 0.5334 Rh
0.3750 0.8416 0.9666 Rh
0.5916 0.6250 0.4666 Rh
0.8750 0.4084 0.0334 Rh
```

**ΔE_f**: 45 meV/atom
**D(E_F)**: 4.441 states/eV/cell
**Raw total energy**: -5.82 eV/atom

---

Compound: CoBi3Pb
Source: Alexandria
Functional: PBE
Structure: relaxed

POSCAR file:
```
CoBi3Pb
1.0
5.2223 0.0000 0.0000
0.0000 5.2223 0.0000
0.0000 0.0000 5.2223
Co Bi Pb
1 3 1
direct
0.0000 0.0000 0.0000 Co
0.0000 0.0000 0.5000 Bi
0.0000 0.5000 0.0000 Bi
0.5000 0.0000 0.0000 Bi
0.5000 0.5000 0.5000 Pb
```

**ΔE_f**: 325 meV/atom
**D(E_F)**: 5.603 states/eV/cell
**Distance to the lowest polymorph of the same formula**: 0.00 eV per formula unit
**Raw total energy**: -4.17 eV/atom

---

Compound: NbPd5Au2
Source: Alexandria
Functional: PBE
Structure: relaxed

POSCAR file:
```
NbPd5Au2
1.0
-2.0163 2.0163 7.9820
2.0163 -2.0163 7.9820
2.0163 2.0163 -7.9820
Nb Pd Au
1 5 2
direct
0.0000 0.0000 0.0000 Nb
0.1183 0.6183 0.5000 Pd
0.3817 0.8817 0.5000 Pd
0.5000 0.5000 0.0000 Pd
0.6183 0.1183 0.5000 Pd
0.8817 0.3817 0.5000 Pd
0.2536 0.2536 0.0000 Au
0.7464 0.7464 0.0000 Au
```

**ΔE_f**: -283 meV/atom
**D(E_F)**: 2.831 states/eV/cell
**Distance to the lowest polymorph of the same formula**: 0.00 eV per formula unit
**Raw total energy**: -5.61 eV/atom

---

Compound: La12PmTm6
Source: Alexandria
Functional: PBE
Structure: relaxed

POSCAR file:
```
La12PmTm6
1.0
7.9581 4.5946 2.9977
-7.9581 4.5946 2.9977
0.0000 -9.1892 2.9977
La Pm Tm
12 1 6
direct
0.0572 0.3722 0.5802 La
0.1045 0.7365 0.1579 La
0.1579 0.1045 0.7365 La
0.2635 0.8421 0.8955 La
0.3722 0.5802 0.0572 La
0.4198 0.9428 0.6278 La
0.5802 0.0572 0.3722 La
0.6278 0.4198 0.9428 La
0.7365 0.1579 0.1045 La
0.8421 0.8955 0.2635 La
0.8955 0.2635 0.8421 La
0.9428 0.6278 0.4198 La
0.0000 0.0000 0.0000 Pm
0.2170 0.4722 0.3196 Tm
0.3196 0.2170 0.4722 Tm
0.4722 0.3196 0.2170 Tm
0.5278 0.6804 0.7830 Tm
0.6804 0.7830 0.5278 Tm
0.7830 0.5278 0.6804 Tm
```

**ΔE_f**: 26 meV/atom
**D(E_F)**: 32.528 states/eV/cell
**Raw total energy**: -4.75 eV/atom

---

Compound: ZrTiMo2N
Source: Alexandria
Functional: PBE
Structure: relaxed

POSCAR file:
```
ZrTiMo2N
1.0
4.7528 0.0000 0.0000
0.0000 4.7528 0.0000
0.0000 0.0000 4.8582
Zr Ti Mo N
1 1 2 1
direct
0.0000 0.0000 0.0000 Zr
0.0000 0.0000 0.5000 Ti
0.0000 0.5000 0.0000 Mo
0.5000 0.0000 0.0000 Mo
0.5000 0.5000 0.5000 N
```

**D(E_F)**: 6.837 states/eV/cell
**Raw total energy**: -6.43 eV/atom
**Formation energy (no corrections)**: 275.6 kJ per mole of atoms

---

Compound: Dy2ZnIn2
Source: Alexandria
Functional: PBE
Structure: relaxed

POSCAR file:
```
Dy2ZnIn2
1.0
2.1528 -9.0838 0.0000
2.1528 9.0838 0.0000
0.0000 0.0000 6.3288
Dy Zn In
4 2 4
direct
0.0057 0.9943 0.5000 Dy
0.2064 0.7936 0.4735 Dy
0.7936 0.2064 0.9735 Dy
0.9943 0.0057 0.0000 Dy
0.3949 0.6051 0.2302 Zn
0.6051 0.3949 0.7302 Zn
0.1704 0.8296 0.9584 In
0.3982 0.6018 0.7381 In
0.6018 0.3982 0.2381 In
0.8296 0.1704 0.4584 In
```

**ΔE_f**: -316 meV/atom
**D(E_F)**: 7.996 states/eV/cell
**Distance to the lowest polymorph of the same formula**: 0.52 eV per formula unit
**Raw total energy**: -3.51 eV/atom

---

Q: D(E_F) of number 6 (ZrTiMo2N)?
A: 6.837 states/eV/cell